A relaxed structure of Ca2ZrSc, computed with PBE-GGA.

```
Ca2ZrSc
1.0
8.7184 0.0000 0.0000
0.0000 8.7184 0.0000
4.3592 4.3592 3.1875
Ca Sc Zr
4 2 2
Cartesian
6.5388 6.5536 2.3906 Ca
6.5240 2.1796 0.7969 Ca
2.1944 6.5388 0.7969 Ca
10.8980 10.8832 2.3906 Ca
4.3592 8.7184 1.5938 Sc
4.3592 4.3592 0.0000 Sc
8.7184 4.3592 1.5938 Zr
0.0000 0.0000 0.0000 Zr
```

Results
**Energy of formation from the pure elements**: 0.700 eV/atom
**Symmetry**: No. 122
**Energy relative to the lowest polymorph listed for this composition**: 0.550 eV per atom